Record 1
The following is a DFT calculation (PBEsol) of an optimized crystal structure of CdPt2Au.

Output
As for the density of states at the Fermi level: 2.0 states/eV/f.u. Its calculated formation energy is -0.117 eV per atom.

Geometry as CIF:
```
data_CdPt2Au
_cell_length_a 2.828
_cell_length_b 4.003
_cell_length_c 5.747
_cell_angle_alpha 90.00
_cell_angle_beta 90.00
_cell_angle_gamma 90.00
_symmetry_space_group_name_H-M 'P m m 2'
_symmetry_Int_Tables_number 25
loop_
_symmetry_equiv_pos_as_xyz
'x,y,z'
'-x,-y,z'
'-x,y,z'
'x,-y,z'
loop_
_atom_site_label
_atom_site_type_symbol
_atom_site_fract_x
_atom_site_fract_y
_atom_site_fract_z
Cd1 Cd 0.000 0.000 0.000
Pt1 Pt 0.000 0.000 0.491
Pt2 Pt 0.500 0.500 0.249
Au1 Au 0.500 0.500 0.737
```


Record 2
The following is a DFT calculation (PBEsol) of an optimized crystal structure of CdPt2Au.

Output
As for the density of states at the Fermi level: 1.8 states/eV/f.u. Its calculated formation energy is -0.082 eV per atom.

Geometry as CIF:
```
data_CdPt2Au
_cell_length_a 2.839
_cell_length_b 4.790
_cell_length_c 9.684
_cell_angle_alpha 90.00
_cell_angle_beta 90.00
_cell_angle_gamma 90.00
_symmetry_space_group_name_H-M 'I m m 2'
_symmetry_Int_Tables_number 44
loop_
_symmetry_equiv_pos_as_xyz
'x,y,z'
'-x,-y,z'
'-x,y,z'
'x,-y,z'
'x+1/2,y+1/2,z+1/2'
'-x+1/2,-y+1/2,z+1/2'
'-x+1/2,y+1/2,z+1/2'
'x+1/2,-y+1/2,z+1/2'
loop_
_atom_site_label
_atom_site_type_symbol
_atom_site_fract_x
_atom_site_fract_y
_atom_site_fract_z
Cd1 Cd 0.000 0.000 0.000
Pt1 Pt 0.000 0.000 0.491
Pt2 Pt 0.000 0.500 0.750
Au1 Au 0.000 0.500 0.240
```


Record 3
The following is a DFT calculation (PBEsol) of an optimized crystal structure of CdPt2Au.

Output
As for the density of states at the Fermi level: 2.4 states/eV/f.u. Its calculated formation energy is -0.100 eV per atom.

Geometry as CIF:
```
data_CdPt2Au
_cell_length_a 2.841
_cell_length_b 2.841
_cell_length_c 8.061
_cell_angle_alpha 90.00
_cell_angle_beta 90.00
_cell_angle_gamma 90.00
_symmetry_space_group_name_H-M 'P 4 m m'
_symmetry_Int_Tables_number 99
loop_
_symmetry_equiv_pos_as_xyz
'x,y,z'
'-y,x,z'
'-x,-y,z'
'y,-x,z'
'-x,y,z'
'y,x,z'
'x,-y,z'
'-y,-x,z'
loop_
_atom_site_label
_atom_site_type_symbol
_atom_site_fract_x
_atom_site_fract_y
_atom_site_fract_z
Cd1 Cd 0.000 0.000 0.000
Pt1 Pt 0.000 0.000 0.485
Pt2 Pt 0.500 0.500 0.247
Au1 Au 0.500 0.500 0.734
```


Record 4
The following is a DFT calculation (PBEsol) of an optimized crystal structure of Cd2Pt2Au.

Output
As for the density of states at the Fermi level: 1.8 states/eV/f.u. Its calculated formation energy is -0.164 eV per atom.

Geometry as CIF:
```
data_Cd2Pt2Au
_cell_length_a 6.899
_cell_length_b 6.899
_cell_length_c 3.819
_cell_angle_alpha 90.00
_cell_angle_beta 90.00
_cell_angle_gamma 90.00
_symmetry_space_group_name_H-M 'P 4/m b m'
_symmetry_Int_Tables_number 127
_symmetry_space_group_name_Hall '-P 4 2ab'
loop_
_atom_site_label
_atom_site_type_symbol
_atom_site_fract_x
_atom_site_fract_y
_atom_site_fract_z
Cd1 Cd 0.166 0.334 0.000
Pt1 Pt 0.135 0.635 0.500
Au1 Au 0.000 0.000 0.500
```


Record 5
The following is a DFT calculation (PBEsol) of an optimized crystal structure of Ta2CdPtAu.

Output
As for the density of states at the Fermi level: 6.1 states/eV/f.u. Its calculated formation energy is 1.122 eV per atom.

Geometry as CIF:
```
data_Ta2CdPtAu
_cell_length_a 4.827
_cell_length_b 4.827
_cell_length_c 4.928
_cell_angle_alpha 90.00
_cell_angle_beta 90.00
_cell_angle_gamma 90.00
_symmetry_space_group_name_H-M 'P 4/m m m'
_symmetry_Int_Tables_number 123
_symmetry_space_group_name_Hall '-P 4 2'
loop_
_atom_site_label
_atom_site_type_symbol
_atom_site_fract_x
_atom_site_fract_y
_atom_site_fract_z
Ta1 Ta 0.000 0.500 0.000
Cd1 Cd 0.000 0.000 0.500
Pt1 Pt 0.000 0.000 0.000
Au1 Au 0.500 0.500 0.500
```


Record 6
The following is a DFT calculation (PBEsol) of an optimized crystal structure of PuCdAu2.

Output
As for the density of states at the Fermi level: 13.9 states/eV/f.u. Its calculated formation energy is -0.191 eV per atom.

Geometry as CIF:
```
data_PuCdAu2
_cell_length_a 6.919
_cell_length_b 6.919
_cell_length_c 6.919
_cell_angle_alpha 90.00
_cell_angle_beta 90.00
_cell_angle_gamma 90.00
_symmetry_space_group_name_H-M 'F m -3 m'
_symmetry_Int_Tables_number 225
_symmetry_space_group_name_Hall '-F 4 2 3'
loop_
_atom_site_label
_atom_site_type_symbol
_atom_site_fract_x
_atom_site_fract_y
_atom_site_fract_z
Pu1 Pu 0.000 0.000 0.000
Cd1 Cd 0.000 0.000 0.500
Au1 Au 0.250 0.250 0.250
```


Record 7
The following is a DFT calculation (PBEsol) of an optimized crystal structure of Rb2Cd2Au.

Output
For the relative energy among the computed polymorphs, the calculation gives 0 meV/atom. As for the density of states at the Fermi level: 2.2 states/eV/f.u. Its calculated formation energy is -0.015 eV per atom.

Geometry as CIF:
```
data_Rb2Cd2Au
_cell_length_a 7.351
_cell_length_b 7.351
_cell_length_c 5.907
_cell_angle_alpha 90.00
_cell_angle_beta 90.00
_cell_angle_gamma 90.00
_symmetry_space_group_name_H-M 'P 4/m b m'
_symmetry_Int_Tables_number 127
_symmetry_space_group_name_Hall '-P 4 2ab'
loop_
_atom_site_label
_atom_site_type_symbol
_atom_site_fract_x
_atom_site_fract_y
_atom_site_fract_z
Rb1 Rb 0.183 0.317 0.000
Cd1 Cd 0.141 0.641 0.500
Au1 Au 0.000 0.000 0.500
```


Record 8
The following is a DFT calculation (PBEsol) of an optimized crystal structure of Rb2Cd2Au.

Output
For the relative energy among the computed polymorphs, the calculation gives 93 meV/atom. As for the density of states at the Fermi level: 2.4 states/eV/f.u. Its calculated formation energy is 0.078 eV per atom.

Geometry as CIF:
```
data_Rb2Cd2Au
_cell_length_a 6.886
_cell_length_b 6.886
_cell_length_c 8.014
_cell_angle_alpha 90.00
_cell_angle_beta 90.00
_cell_angle_gamma 90.00
_symmetry_space_group_name_H-M 'I 4/m m m'
_symmetry_Int_Tables_number 139
_symmetry_space_group_name_Hall '-I 4 2'
loop_
_atom_site_label
_atom_site_type_symbol
_atom_site_fract_x
_atom_site_fract_y
_atom_site_fract_z
Rb1 Rb 0.000 0.500 0.250
Cd1 Cd 0.000 0.000 0.169
Au1 Au 0.000 0.000 0.500
```


Record 9
The following is a DFT calculation (PBEsol) of an optimized crystal structure of Rb2Cd2Au.

Output
For the relative energy among the computed polymorphs, the calculation gives 2 meV/atom. As for the density of states at the Fermi level: 1.9 states/eV/f.u. Its calculated formation energy is -0.013 eV per atom.

Geometry as CIF:
```
data_Rb2Cd2Au
_cell_length_a 4.052
_cell_length_b 4.052
_cell_length_c 21.036
_cell_angle_alpha 90.00
_cell_angle_beta 90.00
_cell_angle_gamma 90.00
_symmetry_space_group_name_H-M 'I 4/m m m'
_symmetry_Int_Tables_number 139
_symmetry_space_group_name_Hall '-I 4 2'
loop_
_atom_site_label
_atom_site_type_symbol
_atom_site_fract_x
_atom_site_fract_y
_atom_site_fract_z
Rb1 Rb 0.000 0.000 0.094
Cd1 Cd 0.000 0.500 0.250
Au1 Au 0.000 0.000 0.500
```


Record 10
The following is a DFT calculation (PBEsol) of an optimized crystal structure of RbCd3Au.

Output
As for the density of states at the Fermi level: 1.8 states/eV/f.u. Its calculated formation energy is -0.060 eV per atom.

Geometry as CIF:
```
data_RbCd3Au
_cell_length_a 5.294
_cell_length_b 5.294
_cell_length_c 5.294
_cell_angle_alpha 90.00
_cell_angle_beta 90.00
_cell_angle_gamma 90.00
_symmetry_space_group_name_H-M 'P m -3 m'
_symmetry_Int_Tables_number 221
_symmetry_space_group_name_Hall '-P 4 2 3'
loop_
_atom_site_label
_atom_site_type_symbol
_atom_site_fract_x
_atom_site_fract_y
_atom_site_fract_z
Rb1 Rb 0.000 0.000 0.000
Cd1 Cd 0.000 0.500 0.500
Au1 Au 0.500 0.500 0.500
```


Record 11
The following is a DFT calculation (PBEsol) of an optimized crystal structure of RbCdAu2.

Output
As for the density of states at the Fermi level: 1.5 states/eV/f.u. Its calculated formation energy is -0.067 eV per atom.

Geometry as CIF:
```
data_RbCdAu2
_cell_length_a 5.287
_cell_length_b 5.287
_cell_length_c 18.816
_cell_angle_alpha 90.00
_cell_angle_beta 90.00
_cell_angle_gamma 90.00
_symmetry_space_group_name_H-M 'I 41/a m d'
_symmetry_Int_Tables_number 141
loop_
_symmetry_equiv_pos_as_xyz
'x,y,z'
'-x,-y,-z'
'-y+1/4,x+3/4,z+1/4'
'y+1/4,-x+3/4,-z+1/4'
'-x+1/2,-y,z+1/2'
'x+1/2,y,-z+1/2'
'y+1/4,-x+1/4,z+3/4'
'-y+1/4,x+1/4,-z+3/4'
'x,-y,-z'
'-x,y,z'
'-y+1/4,-x+1/4,-z+3/4'
'y+1/4,x+1/4,z+3/4'
'-x+1/2,y,-z+1/2'
'x+1/2,-y,z+1/2'
'y+1/4,x+3/4,-z+1/4'
'-y+1/4,-x+3/4,z+1/4'
'x+1/2,y+1/2,z+1/2'
'-x+1/2,-y+1/2,-z+1/2'
'-y+3/4,x+1/4,z+3/4'
'y+3/4,-x+1/4,-z+3/4'
'-x,-y+1/2,z'
'x,y+1/2,-z'
'y+3/4,-x+3/4,z+1/4'
'-y+3/4,x+3/4,-z+1/4'
'x+1/2,-y+1/2,-z+1/2'
'-x+1/2,y+1/2,z+1/2'
'-y+3/4,-x+3/4,-z+1/4'
'y+3/4,x+3/4,z+1/4'
'-x,y+1/2,-z'
'x,-y+1/2,z'
'y+3/4,x+1/4,-z+3/4'
'-y+3/4,-x+1/4,z+3/4'
loop_
_atom_site_label
_atom_site_type_symbol
_atom_site_fract_x
_atom_site_fract_y
_atom_site_fract_z
Rb1 Rb 0.000 0.250 0.375
Cd1 Cd 0.000 0.250 0.875
Au1 Au 0.000 0.000 0.000
```


Record 12
The following is a DFT calculation (PBEsol) of an optimized crystal structure of CdReAu.

Output
For the relative energy among the computed polymorphs, the calculation gives 1068 meV/atom. As for the density of states at the Fermi level: 1.7 states/eV/f.u. Its calculated formation energy is 1.431 eV per atom.

Geometry as CIF:
```
data_CdReAu
_cell_length_a 6.184
_cell_length_b 6.184
_cell_length_c 6.184
_cell_angle_alpha 90.00
_cell_angle_beta 90.00
_cell_angle_gamma 90.00
_symmetry_space_group_name_H-M 'F -4 3 m'
_symmetry_Int_Tables_number 216
_symmetry_space_group_name_Hall 'F -4 2 3'
loop_
_atom_site_label
_atom_site_type_symbol
_atom_site_fract_x
_atom_site_fract_y
_atom_site_fract_z
Cd1 Cd 0.000 0.000 0.000
Re1 Re 0.250 0.250 0.250
Au1 Au 0.250 0.250 0.750
```